(1)
Entry from Alexandria via LeMat-Bulk: a relaxed structure of Si2TeP (PBE).

Computed properties:
ρ, g/cm3: 3.6
Formation energy from raw total energies, eV per atom: 0.311
Polymorph energy (0 for the lowest one), meV/atom: 140
Magnetization, μB/cell: 0.000

Cell: 9.9696 3.2958 5.9632 Å, 90.00 90.65 90.00°
Space group Cm (No. 8)
Inequivalent atoms, fractional coordinates:
Si 0.0000 0.0000 0.0000 [2 per cell]
Si 0.1954 0.5000 0.0497 [2 per cell]
Te 0.0960 0.0000 0.4120 [2 per cell]
P 0.3446 0.0000 0.9021 [2 per cell]


(2)
Entry from Alexandria via LeMat-Bulk: a relaxed structure of Pr6SnTe3S2 (PBE).

Computed properties:
ρ, g/cm3: 6.5
Formation energy from raw total energies, eV per atom: -1.527
Magnetization, μB/cell: 0.000

Cell: 7.5327 13.0245 7.8135 Å, 90.00 108.76 90.00°
Space group C2/m (No. 12)
Inequivalent atoms, fractional coordinates:
Pr 0.2226 0.0000 0.2166 [4 per cell]
Pr 0.2484 0.3256 0.2228 [8 per cell]
Sn 0.0000 0.5000 0.0000 [2 per cell]
Te 0.0000 0.0000 0.5000 [2 per cell]
Te 0.0000 0.3400 0.5000 [4 per cell]
S 0.0000 0.1680 0.0000 [4 per cell]


(3)
Entry from Alexandria via LeMat-Bulk: a relaxed structure of BeCdCl2 (PBE).

Computed properties:
ρ, g/cm3: 3.5
Formation energy from raw total energies, eV per atom: -0.767
Polymorph energy (0 for the lowest one), meV/atom: 139
Magnetization, μB/cell: 0.000

Cell: 3.2172 3.2172 30.4900 Å, 90.00 90.00 120.00°
Space group R-3m (No. 166, hexagonal axes)
Inequivalent atoms, fractional coordinates:
Be 0.0000 0.0000 0.0000 [3 per cell]
Cd 0.0000 0.0000 0.5000 [3 per cell]
Cl 0.0000 0.0000 0.2918 [6 per cell]


(4)
Entry from Alexandria via LeMat-Bulk: a relaxed structure of Dy2Ga4Co3Ru (PBE).

Computed properties:
DFT formation energy, eV/atom: -0.3967
ρ, g/cm3: 8.8
Magnetization, μB/cell: 0.653

Cell: 4.0332 4.0332 10.1854 Å, 90.00 90.00 90.00°
Space group P-4m2 (No. 115)
Inequivalent atoms, fractional coordinates:
Dy 0.0000 0.5000 0.2500 [2 per cell]
Ga 0.0000 0.0000 0.0000 [1 per cell]
Ga 0.0000 0.5000 0.6381 [2 per cell]
Ga 0.5000 0.5000 0.0000 [1 per cell]
Co 0.0000 0.5000 0.8693 [2 per cell]
Co 0.5000 0.5000 0.5000 [1 per cell]
Ru 0.0000 0.0000 0.5000 [1 per cell]


(5)
Entry from Alexandria via LeMat-Bulk: a relaxed structure of NiIrW2 (PBE).

Computed properties:
DFT formation energy, eV/atom: -0.0847
ρ, g/cm3: 17.7
Magnetization, μB/cell: 0.000

Cell: 5.4026 7.8262 2.7405 Å, 90.00 90.00 90.00°
Space group Cmmm (No. 65)
Inequivalent atoms, fractional coordinates:
Ni 0.0000 0.0000 0.0000 [2 per cell]
Ir 0.0000 0.5000 0.0000 [2 per cell]
W 0.2500 0.2500 0.5000 [4 per cell]


(6)
Entry from Alexandria via LeMat-Bulk: a relaxed structure of HoSb6Rh12 (PBE).

Computed properties:
ρ, g/cm3: 10.1
Formation energy from raw total energies, eV per atom: -0.280
Magnetization, μB/cell: 0.000

Cell: 12.0464 12.0464 8.3915 Å, 90.00 90.00 120.00°
Space group R-3m (No. 166, hexagonal axes)
Inequivalent atoms, fractional coordinates:
Ho 0.0000 0.0000 0.0000 [3 per cell]
Sb 0.0434 0.5217 0.2524 [18 per cell]
Rh 0.0000 0.3773 0.5000 [18 per cell]
Rh 0.0772 0.1544 0.3154 [18 per cell]


(7)
Entry from Alexandria via LeMat-Bulk: a relaxed structure of KIn2Os (PBE).

Computed properties:
DFT formation energy, eV/atom: 0.6966
ρ, g/cm3: 8.7
Polymorph energy (0 for the lowest one), meV/atom: 364
Magnetization, μB/cell: 0.000

Cell: 7.0455 7.0455 7.0455 Å, 90.00 90.00 90.00°
Space group Fm-3m (No. 225)
Inequivalent atoms, fractional coordinates:
K 0.0000 0.0000 0.0000 [4 per cell]
In 0.2500 0.2500 0.2500 [8 per cell]
Os 0.0000 0.0000 0.5000 [4 per cell]


(8)
Entry from Alexandria via LeMat-Bulk: a relaxed structure of Nd12SmNi6 (PBE).

Computed properties:
DFT formation energy, eV/atom: -0.1716
ρ, g/cm3: 7.1
Magnetization, μB/cell: 0.001

Cell: 10.1668 10.1668 10.1668 Å, 90.00 90.00 90.00°
Space group Im-3 (No. 204)
Inequivalent atoms, fractional coordinates:
Nd 0.0000 0.1850 0.3121 [24 per cell]
Sm 0.0000 0.0000 0.0000 [2 per cell]
Ni 0.0000 0.3790 0.5000 [12 per cell]